1.
## Fe4CuIr (GGA-PBE)

Data for a relaxed Fe4CuIr crystal.

```
data_Fe4CuIr
_chemical_formula_sum 'Fe4 Cu1 Ir1'
_symmetry_space_group_name_H-M 'P 1'
_symmetry_Int_Tables_number 1
_symmetry_space_group_name_Hall 'P 1'
_cell_length_a 4.7101
_cell_length_b 4.7101
_cell_length_c 4.7101
_cell_angle_alpha 60.00
_cell_angle_beta 60.00
_cell_angle_gamma 60.00
loop_
_atom_site_label
_atom_site_fract_x
_atom_site_fract_y
_atom_site_fract_z
Fe1 0.8769 0.3744 0.3744
Fe2 0.3744 0.3744 0.8769
Fe3 0.3744 0.8769 0.3744
Fe4 0.3744 0.3744 0.3744
Cu1 0.0000 0.0000 0.0000
Ir1 0.7500 0.7500 0.7500
```

Output
- Energy of formation: 12 kJ/mol of atoms


2.
## FeCuIr2 (GGA-PBE)

Data for a relaxed FeCuIr2 crystal.

```
data_FeCuIr2
_chemical_formula_sum 'Fe1 Cu1 Ir2'
_symmetry_space_group_name_H-M 'P 1'
_symmetry_Int_Tables_number 1
_symmetry_space_group_name_Hall 'P 1'
_cell_length_a 8.6847
_cell_length_b 8.6847
_cell_length_c 8.6847
_cell_angle_alpha 17.88
_cell_angle_beta 17.88
_cell_angle_gamma 17.88
loop_
_atom_site_label
_atom_site_fract_x
_atom_site_fract_y
_atom_site_fract_z
Cu1 0.2500 0.2500 0.2500
Fe1 0.7500 0.7500 0.7500
Ir1 0.0021 0.0021 0.0021
Ir2 0.4979 0.4979 0.4979
```

Output
- Energy of formation: 2 kJ/mol of atoms
- Offset from the most stable computed form: 0.010 eV per atom


3.
## FeCuIr2 (GGA-PBE)

Data for a relaxed FeCuIr2 crystal.

```
data_FeCuIr2
_chemical_formula_sum 'Fe1 Cu1 Ir2'
_symmetry_space_group_name_H-M 'P 1'
_symmetry_Int_Tables_number 1
_symmetry_space_group_name_Hall 'P 1'
_cell_length_a 2.7160
_cell_length_b 3.5621
_cell_length_c 5.4806
_cell_angle_alpha 90.00
_cell_angle_beta 90.00
_cell_angle_gamma 90.00
loop_
_atom_site_label
_atom_site_fract_x
_atom_site_fract_y
_atom_site_fract_z
Cu1 0.5000 0.5000 0.2500
Fe1 0.5000 0.5000 0.7500
Ir1 0.0000 0.0000 0.9975
Ir2 0.0000 0.0000 0.5025
```

Output
- Energy of formation: 7 kJ/mol of atoms
- Offset from the most stable computed form: 0.062 eV per atom


4.
## FeCuIr2 (GGA-PBE)

Data for a relaxed FeCuIr2 crystal.

```
data_FeCuIr2
_chemical_formula_sum 'Fe1 Cu1 Ir2'
_symmetry_space_group_name_H-M 'P 1'
_symmetry_Int_Tables_number 1
_symmetry_space_group_name_Hall 'P 1'
_cell_length_a 4.2669
_cell_length_b 4.2669
_cell_length_c 4.2669
_cell_angle_alpha 60.00
_cell_angle_beta 60.00
_cell_angle_gamma 60.00
loop_
_atom_site_label
_atom_site_fract_x
_atom_site_fract_y
_atom_site_fract_z
Cu1 0.5000 0.5000 0.5000
Fe1 0.7500 0.7500 0.7500
Ir1 0.0000 0.0000 0.0000
Ir2 0.2500 0.2500 0.2500
```

Output
- Energy of formation: 26 kJ/mol of atoms
- Offset from the most stable computed form: 0.263 eV per atom


5.
## Fe3CuIr (GGA-PBE)

Data for a relaxed Fe3CuIr crystal.

```
data_Fe3CuIr
_chemical_formula_sum 'Fe3 Cu1 Ir1'
_symmetry_space_group_name_H-M 'P 1'
_symmetry_Int_Tables_number 1
_symmetry_space_group_name_Hall 'P 1'
_cell_length_a 4.2601
_cell_length_b 4.2601
_cell_length_c 4.2601
_cell_angle_alpha 90.00
_cell_angle_beta 90.00
_cell_angle_gamma 90.00
loop_
_atom_site_label
_atom_site_fract_x
_atom_site_fract_y
_atom_site_fract_z
Ir1 0.5000 0.5000 0.5000
Fe1 0.0000 0.5000 0.0000
Fe2 0.0000 0.0000 0.5000
Fe3 0.5000 0.0000 0.0000
Cu1 0.0000 0.0000 0.0000
```

Output
- Energy of formation: 121 kJ/mol of atoms
- Offset from the most stable computed form: 0.000 eV per atom


6.
## FeCuIr (GGA-PBE)

Data for a relaxed FeCuIr crystal.

```
data_FeCuIr
_chemical_formula_sum 'Fe1 Cu1 Ir1'
_symmetry_space_group_name_H-M 'P 1'
_symmetry_Int_Tables_number 1
_symmetry_space_group_name_Hall 'P 1'
_cell_length_a 4.1820
_cell_length_b 4.1820
_cell_length_c 2.6131
_cell_angle_alpha 90.00
_cell_angle_beta 90.00
_cell_angle_gamma 120.00
loop_
_atom_site_label
_atom_site_fract_x
_atom_site_fract_y
_atom_site_fract_z
Cu1 0.0000 0.0000 0.0564
Fe1 0.6667 0.3333 0.3120
Ir1 0.3333 0.6667 0.6317
```

Output
- Energy of formation: 11 kJ/mol of atoms
- Offset from the most stable computed form: 0.062 eV per atom


7.
## FeCuIr4 (GGA-PBE)

Data for a relaxed FeCuIr4 crystal.

```
data_FeCuIr4
_chemical_formula_sum 'Fe1 Cu1 Ir4'
_symmetry_space_group_name_H-M 'P 1'
_symmetry_Int_Tables_number 1
_symmetry_space_group_name_Hall 'P 1'
_cell_length_a 2.7167
_cell_length_b 2.7167
_cell_length_c 11.2162
_cell_angle_alpha 90.00
_cell_angle_beta 90.00
_cell_angle_gamma 90.00
loop_
_atom_site_label
_atom_site_fract_x
_atom_site_fract_y
_atom_site_fract_z
Fe1 0.0000 0.0000 0.0000
Cu1 0.5000 0.5000 0.5000
Ir1 0.5000 0.5000 0.1643
Ir2 0.0000 0.0000 0.6673
Ir3 0.0000 0.0000 0.3327
Ir4 0.5000 0.5000 0.8357
```

Output
- Energy of formation: 5 kJ/mol of atoms
- Offset from the most stable computed form: 0.000 eV per atom


8.
## FeCuIr (GGA-PBE)

Data for a relaxed FeCuIr crystal.

```
data_FeCuIr
_chemical_formula_sum 'Fe1 Cu1 Ir1'
_symmetry_space_group_name_H-M 'P 1'
_symmetry_Int_Tables_number 1
_symmetry_space_group_name_Hall 'P 1'
_cell_length_a 4.5563
_cell_length_b 4.5563
_cell_length_c 4.5563
_cell_angle_alpha 145.91
_cell_angle_beta 132.21
_cell_angle_gamma 60.00
loop_
_atom_site_label
_atom_site_fract_x
_atom_site_fract_y
_atom_site_fract_z
Cu1 0.0005 0.0005 0.0000
Fe1 0.6682 0.6682 0.0000
Ir1 0.3313 0.3313 0.0000
```

Output
- Energy of formation: 5 kJ/mol of atoms
- Offset from the most stable computed form: 0.000 eV per atom